(1)
Below is a relaxed structure of ZrNpCo2, with properties calculated at the PBE-GGA level. Values from VASP.

Quantum ESPRESSO input file:
```
&SYSTEM
  ibrav = 0, nat = 4, ntyp = 3
/
ATOMIC_SPECIES
Zr 91.22 Zr.upf
Np 237.00 Np.upf
Co 58.93 Co.upf
CELL_PARAMETERS angstrom
4.667 0.000 0.000
0.000 4.667 0.000
0.000 0.000 3.071
ATOMIC_POSITIONS crystal
Zr 0.000 0.000 0.000
Np 0.500 0.500 0.000
Co 0.000 0.500 0.500
Co 0.500 0.000 0.500
```

Properties
Formation energy from the elements in eV per atom: -0.01
SG: P4/mmm (123)
Crystal system: tetragonal
DOS(E_F) in states/eV/atom: 1.436



(2)
Below is a relaxed structure of TcBiF2, with properties calculated at the PBE-GGA level. Values from VASP.

Quantum ESPRESSO input file:
```
&SYSTEM
  ibrav = 0, nat = 4, ntyp = 3
/
ATOMIC_SPECIES
Tc 98.00 Tc.upf
Bi 208.98 Bi.upf
F 19.00 F.upf
CELL_PARAMETERS angstrom
1.516 0.875 8.744
-1.516 0.875 8.744
0.000 -1.750 8.744
ATOMIC_POSITIONS crystal
Tc 0.000 0.000 0.000
Bi 0.500 0.500 0.500
F 0.074 0.074 0.074
F 0.926 0.926 0.926
```

Properties
SG: R-3m (166)
Crystal system: trigonal
DOS(E_F) in states/eV/atom: 0.829



(3)
Below is a relaxed structure of KZnBrF2, with properties calculated at the PBE-GGA level. Values from VASP.

Quantum ESPRESSO input file:
```
&SYSTEM
  ibrav = 0, nat = 5, ntyp = 4
/
ATOMIC_SPECIES
K 39.10 K.upf
Zn 65.41 Zn.upf
Br 79.90 Br.upf
F 19.00 F.upf
CELL_PARAMETERS angstrom
4.301 0.000 0.000
0.000 4.301 0.000
0.000 0.000 5.141
ATOMIC_POSITIONS crystal
K 0.000 0.000 0.000
Zn 0.500 0.500 0.500
Br 0.500 0.500 0.000
F 0.000 0.500 0.500
F 0.500 0.000 0.500
```

Properties
SG: P4/mmm (123)
Crystal system: tetragonal
DOS(E_F) in states/eV/atom: 0.000



(4)
Below is a relaxed structure of RbSrHf2, with properties calculated at the PBE-GGA level. Values from VASP.

Quantum ESPRESSO input file:
```
&SYSTEM
  ibrav = 0, nat = 8, ntyp = 3
/
ATOMIC_SPECIES
Rb 85.47 Rb.upf
Sr 87.62 Sr.upf
Hf 178.49 Hf.upf
CELL_PARAMETERS angstrom
-2.217 2.217 12.884
2.217 -2.217 12.884
2.217 2.217 -12.884
ATOMIC_POSITIONS crystal
Rb 0.000 0.000 0.000
Rb 0.750 0.250 0.500
Sr 0.250 0.750 0.500
Sr 0.500 0.500 0.000
Hf 0.131 0.625 0.006
Hf 0.375 0.381 0.506
Hf 0.619 0.125 0.994
Hf 0.875 0.869 0.494
```

Properties
Formation energy from the elements in eV per atom: 1.28
SG: I-42d (122)
Crystal system: tetragonal
DOS(E_F) in states/eV/atom: 1.739



(5)
Below is a relaxed structure of AlAgGe, with properties calculated at the PBE-GGA level. Values from VASP.

Quantum ESPRESSO input file:
```
&SYSTEM
  ibrav = 0, nat = 6, ntyp = 3
/
ATOMIC_SPECIES
Al 26.98 Al.upf
Ag 107.87 Ag.upf
Ge 72.64 Ge.upf
CELL_PARAMETERS angstrom
2.898 0.000 0.000
0.000 4.975 0.000
-0.001 0.000 7.556
ATOMIC_POSITIONS crystal
Al 0.000 0.000 0.000
Al 0.499 0.500 0.124
Ag 0.499 0.000 0.690
Ag 0.999 0.500 0.815
Ge 0.500 0.500 0.481
Ge 0.502 0.000 0.304
```

Properties
Formation energy from the elements in eV per atom: 0.14
SG: Pm (6)
Crystal system: monoclinic
DOS(E_F) in states/eV/atom: 0.378



(6)
Below is a relaxed structure of GaSn, with properties calculated at the PBE-GGA level. Values from VASP.

Quantum ESPRESSO input file:
```
&SYSTEM
  ibrav = 0, nat = 4, ntyp = 2
/
ATOMIC_SPECIES
Ga 69.72 Ga.upf
Sn 118.71 Sn.upf
CELL_PARAMETERS angstrom
4.115 0.000 0.000
-2.058 3.564 0.000
0.000 0.000 7.978
ATOMIC_POSITIONS crystal
Ga 0.333 0.667 0.000
Ga 0.667 0.333 0.500
Sn 0.333 0.667 0.333
Sn 0.667 0.333 0.833
```

Properties
Formation energy from the elements in eV per atom: 0.15
SG: P6_3mc (186)
Crystal system: hexagonal
DOS(E_F) in states/eV/atom: 0.592



(7)
Below is a relaxed structure of EuYHgPd, with properties calculated at the PBE-GGA level. Values from VASP.

Quantum ESPRESSO input file:
```
&SYSTEM
  ibrav = 0, nat = 4, ntyp = 4
/
ATOMIC_SPECIES
Eu 151.96 Eu.upf
Y 88.91 Y.upf
Hg 200.59 Hg.upf
Pd 106.42 Pd.upf
CELL_PARAMETERS angstrom
0.000 3.683 3.683
3.683 0.000 3.683
3.683 3.683 0.000
ATOMIC_POSITIONS crystal
Eu 0.000 0.000 0.000
Y 0.500 0.500 0.500
Hg 0.750 0.750 0.750
Pd 0.250 0.250 0.250
```

Properties
Formation energy from the elements in eV per atom: -0.57
SG: F-43m (216)
Crystal system: cubic
DOS(E_F) in states/eV/atom: 2.374



(8)
Below is a relaxed structure of La3SmY, with properties calculated at the PBE-GGA level. Values from VASP.

Quantum ESPRESSO input file:
```
&SYSTEM
  ibrav = 0, nat = 20, ntyp = 3
/
ATOMIC_SPECIES
La 138.91 La.upf
Sm 150.36 Sm.upf
Y 88.91 Y.upf
CELL_PARAMETERS angstrom
7.857 -6.865 0.000
7.857 6.865 0.000
-1.732 0.000 6.532
ATOMIC_POSITIONS crystal
La 0.089 0.717 0.563
La 0.112 0.488 0.848
La 0.238 0.365 0.350
La 0.283 0.911 0.937
La 0.365 0.238 0.850
La 0.488 0.112 0.348
La 0.512 0.888 0.652
La 0.635 0.762 0.150
La 0.717 0.089 0.063
La 0.762 0.635 0.650
La 0.888 0.512 0.152
La 0.911 0.283 0.437
Sm 0.309 0.691 0.250
Sm 0.435 0.565 0.750
Sm 0.565 0.435 0.250
Sm 0.691 0.309 0.750
Y 0.031 0.167 0.941
Y 0.167 0.031 0.441
Y 0.833 0.969 0.559
Y 0.969 0.833 0.059
```

Properties
Formation energy from the elements in eV per atom: 0.05
SG: C2/c (15)
Crystal system: monoclinic
DOS(E_F) in states/eV/atom: 1.481



| no. | ρ (Mg/m³) | total energy (eV/atom) |
| --- | --- | --- |
| 1 | 11.1 | -8.937 |
| 2 | 8.2 | -5.222 |
| 3 | 3.9 | -3.512 |
| 4 | 6.9 | -4.361 |
| 5 | 6.3 | -3.599 |
| 6 | 5.3 | -3.360 |
| 7 | 9.1 | -6.131 |
| 8 | 6.2 | -5.145 |